(1)
Density functional theory data (PBE) for a relaxed structure of Pm7Nd2Th2.

It has space group C2/m (No. 12), with a = 11.6602 Å, b = 11.6068 Å, c = 6.0912 Å, α = 90.00°, β = 112.42° and γ = 90.00°. The distinct sites, in fractional coordinates, are Pm at (0.0000, 0.0000, 0.0000), Pm at (0.0753, 0.5000, 0.7973), Pm at (0.1792, 0.2287, 0.1712), Nd at (0.2245, 0.0000, 0.5981) and Th at (0.0000, 0.2168, 0.5000).

Its formation energy from the elements is 0.180 eV/atom. The offset from the most stable computed form is 2 meV/atom.

---

(2)
Density functional theory data (PBE) for a relaxed structure of MnBSb2I.

It has space group P4/mmm (No. 123), with a = 4.8111 Å, b = 4.8111 Å, c = 5.7798 Å, α = 90.00°, β = 90.00° and γ = 90.00°. The distinct sites, in fractional coordinates, are Mn at (0.0000, 0.0000, 0.0000), B at (0.5000, 0.5000, 0.5000), Sb at (0.0000, 0.5000, 0.0000) and I at (0.0000, 0.0000, 0.5000).

The value obtained for the uncorrected formation energy is 6.45 eV per formula unit. The offset from the most stable computed form is 279 meV/atom.

---

(3)
Density functional theory data (PBE) for a relaxed structure of NaSb2HI.

It has space group P4/mmm (No. 123), with a = 4.3678 Å, b = 4.3678 Å, c = 8.1831 Å, α = 90.00°, β = 90.00° and γ = 90.00°. The distinct sites, in fractional coordinates, are Na at (0.0000, 0.0000, 0.0000), Sb at (0.0000, 0.5000, 0.5000), H at (0.5000, 0.5000, 0.5000) and I at (0.5000, 0.5000, 0.0000).

The offset from the most stable computed form is 0 meV/atom.

---

(4)
Density functional theory data (PBE) for a relaxed structure of EuAlCdAg.

It has space group F-43m (No. 216), with a = 7.1161 Å, b = 7.1161 Å, c = 7.1161 Å, α = 90.00°, β = 90.00° and γ = 90.00°. The distinct sites, in fractional coordinates, are Eu at (0.0000, 0.0000, 0.0000), Al at (0.0000, 0.0000, 0.5000), Cd at (0.2500, 0.2500, 0.2500) and Ag at (0.2500, 0.2500, 0.7500).

Its formation energy from the elements is -0.194 eV/atom.

---

no.,total magnetization (μB/atom),density of states at the Fermi level (states/eV/cell)
1,0.000,31.8
2,0.009,3.8
3,0.000,3.2
4,1.743,48.1